This record from the Alexandria database describes Rb2CaRuCl6 after structural relaxation. The functional is PBE.

a = 7.261 Å, b = 7.261 Å, c = 7.261 Å
α = 60.00°, β = 60.00°, γ = 90.00°
Positions (direct):
Ru 0.000 0.000 0.000
Ca 0.500 0.500 0.000
Rb 0.750 0.250 0.500
Rb 0.250 0.750 0.500
Cl 0.236 0.236 0.528
Cl 0.764 0.764 0.472
Cl 0.236 0.236 0.000
Cl 0.764 0.764 0.000
Cl 0.764 0.236 0.000
Cl 0.236 0.764 0.000

Output
**M_tot**: 0.0 μB/cell
**Total DFT energy (no corrections)**: -3.9772 eV per atom
**E_form (uncorrected)**: -1.548 eV/atom